Density functional theory data (PBE+U) for a geometry-optimized BaNiAs2O6 structure.

## Properties
total energy = -5.691 eV per atom
N(E_F) = 2.75 states/eV/f.u.

Unit cell a=5.5649 b=5.5649 c=17.5550 alpha=90.00 beta=90.00 gamma=120.00
Closest atoms and distances in Å follow each position.
Space group R-3 (No. 148, hexagonal axes)
Inequivalent atoms, fractional coordinates:
Ba 0.0000 0.0000 0.0000 x3  6 O 2.79
Ni 0.0000 0.0000 0.5000 x3  6 O 2.10
As 0.0000 0.0000 0.2579 x6  3 O 1.74
O 0.0058 0.6111 0.9004 x18  1 As 1.74


Density functional theory data (PBE+U) for a geometry-optimized Ba3NiAs2O8 structure.

## Properties
total energy = -5.914 eV per atom
N(E_F) = 2.10 states/eV/f.u.

Unit cell a=5.8651 b=5.8651 c=7.5950 alpha=90.00 beta=90.00 gamma=120.00
Closest atoms and distances in Å follow each position.
Space group P-3m1 (No. 164)
Inequivalent atoms, fractional coordinates:
Ba 0.0000 0.0000 0.0000 x1  6 O 2.97
Ba 0.3333 0.6667 0.6486 x2  1 O 2.54
Ni 0.0000 0.0000 0.5000 x1  6 O 2.17
As 0.3333 0.6667 0.2183 x2  4 O 1.79-1.86
O 0.1668 0.3335 0.3205 x6  1 As 1.86
O 0.3333 0.6667 0.9829 x2  1 As 1.79


What is the N(E_F) in the first record? 2.75 states/eV/f.u.


N(E_F) of number 1 (BaNiAs2O6)? 2.75 states/eV/f.u.


Look up the N(E_F) of the first one. 2.75 states/eV/f.u.


Which of these has the highest N(E_F)? BaNiAs2O6